Here is a relaxed Ba6ZnCo5Si6O24 crystal from Alexandria. Energies are from PBE+U.

Cell: 8.798 9.240 9.248 Å, 60.06 89.96 89.99°
Space group P1 (No. 1)
Symmetry-distinct sites (fractional):
Ba: 0.000 0.000 0.000 x1
Ba: 0.007 0.333 0.335 x1
Ba: 0.031 0.667 0.667 x1
Ba: 0.501 0.333 0.334 x1
Ba: 0.507 0.001 0.001 x1
Ba: 0.531 0.665 0.668 x1
Zn: 0.313 0.336 0.987 x1
Co: 0.315 0.680 0.336 x1
Co: 0.315 0.984 0.680 x1
Co: 0.814 0.349 0.655 x1
Co: 0.814 0.654 0.998 x1
Co: 0.815 0.997 0.350 x1
Si: 0.211 0.007 0.340 x1
Si: 0.211 0.653 0.008 x1
Si: 0.212 0.340 0.655 x1
Si: 0.711 0.326 0.995 x1
Si: 0.711 0.680 0.327 x1
Si: 0.711 0.994 0.681 x1
O: 0.032 0.388 0.598 x1
O: 0.032 0.594 0.018 x1
O: 0.033 0.016 0.390 x1
O: 0.224 0.858 0.905 x1
O: 0.224 0.905 0.236 x1
O: 0.226 0.236 0.860 x1
O: 0.271 0.226 0.573 x1
O: 0.272 0.201 0.228 x1
O: 0.272 0.572 0.201 x1
O: 0.301 0.578 0.903 x1
O: 0.303 0.519 0.578 x1
O: 0.303 0.903 0.519 x1
O: 0.532 0.738 0.319 x1
O: 0.532 0.942 0.740 x1
O: 0.533 0.318 0.945 x1
O: 0.724 0.098 0.476 x1
O: 0.724 0.428 0.099 x1
O: 0.724 0.474 0.429 x1
O: 0.769 0.107 0.762 x1
O: 0.771 0.132 0.108 x1
O: 0.771 0.761 0.133 x1
O: 0.803 0.755 0.431 x1
O: 0.804 0.430 0.817 x1
O: 0.804 0.815 0.757 x1

Raw total energy in eV/atom: -6.962
Total magnetic moment in μB per cell: 15.00